Computed, not measured: a relaxed ZrScC2 crystal at the GGA-PBE level of DFT.

Properties
The calculation puts the energy relative to the lowest polymorph listed for this composition at 0.929 eV per atom. Its theoretical density is 5.41 g/cm³. The value obtained for the total energy is -126.532 eV for the cell shown. The magnetization is 0.00 μB/f.u. The formation energy comes out at 0.424 eV/atom. The volume comes out at 12.29 Å³ per atom.

Lattice parameters (Å, degrees): 5.815 5.815 5.815 90.00 90.00 90.00
Space group Fm-3m (No. 225)
Unique sites:
Zr1 0.000 0.000 0.000 (multiplicity 4)
Sc1 0.000 0.000 0.500 (multiplicity 4)
C1 0.250 0.250 0.250 (multiplicity 8)



Computed, not measured: a relaxed ZrSc3C crystal at the GGA-PBE level of DFT.

Properties
The calculation puts the energy relative to the lowest polymorph listed for this composition at 0.000 eV per atom. Its theoretical density is 3.97 g/cm³. The value obtained for the total energy is -37.092 eV for the cell shown. The magnetization is 3.00 μB/f.u. The formation energy comes out at -0.065 eV/atom. The volume comes out at 19.91 Å³ per atom.

Lattice parameters (Å, degrees): 4.635 4.635 4.635 90.00 90.00 90.00
Space group Pm-3m (No. 221)
Unique sites:
Zr1 0.000 0.000 0.000 (multiplicity 1)
Sc1 0.000 0.500 0.500 (multiplicity 3)
C1 0.500 0.500 0.500 (multiplicity 1)



Computed, not measured: a relaxed Zr2ScC2 crystal at the GGA-PBE level of DFT.

Properties
The calculation puts the energy relative to the lowest polymorph listed for this composition at 0.000 eV per atom. Its theoretical density is 5.29 g/cm³. The value obtained for the total energy is -90.053 eV for the cell shown. The magnetization is 0.00 μB/f.u. The formation energy comes out at -0.630 eV/atom. The volume comes out at 15.78 Å³ per atom.

Lattice parameters (Å, degrees): 3.374 4.710 9.927 90.00 90.00 90.00
Space group Immm (No. 71)
Unique sites:
Zr1 0.000 0.000 0.178 (multiplicity 4)
Sc1 0.000 0.000 0.500 (multiplicity 2)
C1 0.000 0.500 0.170 (multiplicity 4)



Computed, not measured: a relaxed Zr2ScC crystal at the GGA-PBE level of DFT.

Properties
Its theoretical density is 4.95 g/cm³. The value obtained for the total energy is -101.370 eV for the cell shown. The magnetization is 0.00 μB/f.u. The formation energy comes out at -0.285 eV/atom. The volume comes out at 20.07 Å³ per atom.

Lattice parameters (Å, degrees): 3.2999 3.2999 25.5424 90.00 90.00 120.00
Space group R-3m (No. 166, hexagonal axes)
Unique sites:
Zr1 0.0000 0.0000 0.1177 (multiplicity 6)
Sc1 0.0000 0.0000 0.0000 (multiplicity 3)
C1 0.0000 0.0000 0.5000 (multiplicity 3)



Computed, not measured: a relaxed Zr3ScC2 crystal at the GGA-PBE level of DFT.

Properties
Its theoretical density is 5.37 g/cm³. The value obtained for the total energy is -107.137 eV for the cell shown. The magnetization is 0.00 μB/f.u. The formation energy comes out at -0.524 eV/atom. The volume comes out at 17.66 Å³ per atom.

Lattice parameters (Å, degrees): 6.6673 6.6673 5.5052 90.00 90.00 120.00
Space group P-3m1 (No. 164)
Unique sites:
Zr1 0.1690 0.3381 0.2730 (multiplicity 6)
Sc1 0.3333 0.6667 0.7335 (multiplicity 2)
C1 0.0000 0.0000 0.5000 (multiplicity 1)
C2 0.0000 0.5000 0.5000 (multiplicity 3)



Computed, not measured: a relaxed ZrSc3C2 crystal at the GGA-PBE level of DFT.

Properties
Its theoretical density is 4.55 g/cm³. The value obtained for the total energy is -281.931 eV for the cell shown. The magnetization is 0.00 μB/f.u. The formation energy comes out at -0.166 eV/atom. The volume comes out at 15.22 Å³ per atom.

Lattice parameters (Å, degrees): 8.0291 8.0291 9.8165 90.00 90.00 120.00
Space group R-3m (No. 166, hexagonal axes)
Unique sites:
Zr1 0.0000 0.0000 0.2504 (multiplicity 6)
Sc1 0.9999 0.5000 0.2500 (multiplicity 18)
C1 0.0000 0.0000 0.0000 (multiplicity 3)
C2 0.0000 0.5000 0.0000 (multiplicity 9)



Computed, not measured: a relaxed ZrSc2C2 crystal at the GGA-PBE level of DFT.

Properties
The calculation puts the energy relative to the lowest polymorph listed for this composition at 0.000 eV per atom. Its theoretical density is 4.18 g/cm³. The value obtained for the total energy is -127.992 eV for the cell shown. The magnetization is 0.00 μB/f.u. The formation energy comes out at -0.601 eV/atom. The volume comes out at 16.32 Å³ per atom.

Lattice parameters (Å, degrees): 3.3361 3.3361 25.3916 90.00 90.00 120.00
Space group R-3m (No. 166, hexagonal axes)
Unique sites:
Zr1 0.0000 0.0000 0.0000 (multiplicity 3)
Sc1 0.0000 0.0000 0.2319 (multiplicity 6)
C1 0.0000 0.0000 0.3891 (multiplicity 6)



Computed, not measured: a relaxed Zr2ScC2 crystal at the GGA-PBE level of DFT.

Properties
The calculation puts the energy relative to the lowest polymorph listed for this composition at 0.075 eV per atom. Its theoretical density is 5.25 g/cm³. The value obtained for the total energy is -133.949 eV for the cell shown. The magnetization is 0.00 μB/f.u. The formation energy comes out at -0.555 eV/atom. The volume comes out at 15.91 Å³ per atom.

Lattice parameters (Å, degrees): 3.3567 3.3567 24.4607 90.00 90.00 120.00
Space group R-3m (No. 166, hexagonal axes)
Unique sites:
Zr1 0.0000 0.0000 0.2285 (multiplicity 6)
Sc1 0.0000 0.0000 0.0000 (multiplicity 3)
C1 0.0000 0.0000 0.3928 (multiplicity 6)



Computed, not measured: a relaxed ZrScC2 crystal at the GGA-PBE level of DFT.

Properties
The calculation puts the energy relative to the lowest polymorph listed for this composition at 0.272 eV per atom. Its theoretical density is 4.94 g/cm³. The value obtained for the total energy is -102.781 eV for the cell shown. The magnetization is 0.00 μB/f.u. The formation energy comes out at -0.233 eV/atom. The volume comes out at 13.47 Å³ per atom.

Lattice parameters (Å, degrees): 3.3048 3.3048 17.0956 90.00 90.00 120.00
Space group R3m (No. 160, hexagonal axes)
Unique sites:
Zr1 0.0000 0.0000 0.0000 (multiplicity 3)
Sc1 0.0000 0.0000 0.8246 (multiplicity 3)
C1 0.0000 0.0000 0.4094 (multiplicity 3)
C2 0.0000 0.0000 0.5824 (multiplicity 3)



Computed, not measured: a relaxed ZrSc5C4 crystal at the GGA-PBE level of DFT.

Properties
Its theoretical density is 3.83 g/cm³. The value obtained for the total energy is -164.613 eV for the cell shown. The magnetization is 1.20 μB/f.u. The formation energy comes out at -0.521 eV/atom. The volume comes out at 15.78 Å³ per atom.

Lattice parameters (Å, degrees): 14.506 3.335 6.693 90.00 102.96 90.00
Space group C2/m (No. 12)
Unique sites:
Zr1 0.000 0.000 0.000 (multiplicity 2)
Sc1 0.000 0.000 0.500 (multiplicity 2)
Sc2 0.159 0.500 0.310 (multiplicity 4)
Sc3 0.167 0.500 0.857 (multiplicity 4)
C1 0.001 0.500 0.744 (multiplicity 4)
C2 0.168 0.000 0.090 (multiplicity 4)



Computed, not measured: a relaxed ZrSc2C2 crystal at the GGA-PBE level of DFT.

Properties
The calculation puts the energy relative to the lowest polymorph listed for this composition at 1.167 eV per atom. Its theoretical density is 5.06 g/cm³. The value obtained for the total energy is -73.657 eV for the cell shown. The magnetization is 0.00 μB/f.u. The formation energy comes out at 0.566 eV/atom. The volume comes out at 13.45 Å³ per atom.

Lattice parameters (Å, degrees): 6.806 6.806 2.905 90.00 90.00 90.00
Space group P4/mbm (No. 127)
Unique sites:
Zr1 0.000 0.000 0.000 (multiplicity 2)
Sc1 0.129 0.371 0.000 (multiplicity 4)
C1 0.175 0.675 0.500 (multiplicity 4)



Computed, not measured: a relaxed ZrScC2 crystal at the GGA-PBE level of DFT.

Properties
The calculation puts the energy relative to the lowest polymorph listed for this composition at 0.590 eV per atom. Its theoretical density is 4.03 g/cm³. The value obtained for the total energy is -131.966 eV for the cell shown. The magnetization is 0.00 μB/f.u. The formation energy comes out at 0.084 eV/atom. The volume comes out at 16.49 Å³ per atom.

Lattice parameters (Å, degrees): 5.106 5.106 10.122 90.00 90.00 90.00
Space group I-42d (No. 122)
Unique sites:
Zr1 0.000 0.000 0.000 (multiplicity 4)
Sc1 0.000 0.000 0.500 (multiplicity 4)
C1 0.243 0.250 0.125 (multiplicity 8)



Computed, not measured: a relaxed Zr3ScC4 crystal at the GGA-PBE level of DFT.

Properties
Its theoretical density is 5.81 g/cm³. The value obtained for the total energy is -148.441 eV for the cell shown. The magnetization is 0.00 μB/f.u. The formation energy comes out at -0.669 eV/atom. The volume comes out at 13.10 Å³ per atom.

Lattice parameters (Å, degrees): 5.776 6.662 5.780 90.00 109.58 90.00
Space group P2/c (No. 13)
Unique sites:
Zr1 0.000 0.124 0.250 (multiplicity 2)
Zr2 0.000 0.374 0.750 (multiplicity 2)
Zr3 0.500 0.374 0.250 (multiplicity 2)
Sc1 0.500 0.124 0.750 (multiplicity 2)
C1 0.247 0.127 0.001 (multiplicity 4)
C2 0.250 0.376 0.499 (multiplicity 4)



Computed, not measured: a relaxed CSe crystal at the GGA-PBE level of DFT.

Properties
The calculation puts the energy relative to the lowest polymorph listed for this composition at 0.127 eV per atom. Its theoretical density is 3.55 g/cm³. The value obtained for the total energy is -68.676 eV for the cell shown. The magnetization is 0.09 μB/f.u. The volume comes out at 21.29 Å³ per atom. For the formation energy without anion corrections, the calculation gives 631 meV per atom.

Lattice parameters (Å, degrees): 9.544 2.697 10.310 90.00 105.73 90.00
Space group Cm (No. 8)
Unique sites:
C1 0.000 0.000 0.000 (multiplicity 2)
C2 0.008 0.500 0.937 (multiplicity 2)
C3 0.487 0.500 0.132 (multiplicity 2)
Se1 0.023 0.500 0.760 (multiplicity 2)
Se2 0.251 0.000 0.508 (multiplicity 2)
Se3 0.490 0.000 0.252 (multiplicity 2)



Computed, not measured: a relaxed CSe crystal at the GGA-PBE level of DFT.

Properties
The calculation puts the energy relative to the lowest polymorph listed for this composition at 1.478 eV per atom. Its theoretical density is 3.88 g/cm³. The value obtained for the total energy is -8.744 eV for the cell shown. The magnetization is 0.00 μB/f.u. The volume comes out at 19.46 Å³ per atom. For the formation energy without anion corrections, the calculation gives 1982 meV per atom.

Lattice parameters (Å, degrees): 2.986 2.986 4.367 90.00 90.00 90.00
Space group P4/mmm (No. 123)
Unique sites:
C1 0.000 0.000 0.000 (multiplicity 1)
Se1 0.500 0.500 0.000 (multiplicity 1)



Computed, not measured: a relaxed C23Se4 crystal at the GGA-PBE level of DFT.

Properties
Its theoretical density is 4.69 g/cm³. The value obtained for the total energy is -372.495 eV for the cell shown. The magnetization is 0.00 μB/f.u. The volume comes out at 7.77 Å³ per atom. For the formation energy without anion corrections, the calculation gives 1476 meV per atom.

Lattice parameters (Å, degrees): 7.486 7.486 7.486 90.00 90.00 90.00
Space group Pm-3n (No. 223)
Unique sites:
C1 0.000 0.212 0.278 (multiplicity 24)
C2 0.000 0.250 0.500 (multiplicity 6)
C3 0.187 0.187 0.187 (multiplicity 16)
Se1 0.000 0.000 0.000 (multiplicity 2)
Se2 0.000 0.500 0.250 (multiplicity 6)



Computed, not measured: a relaxed C2Se crystal at the GGA-PBE level of DFT.

Properties
The calculation puts the energy relative to the lowest polymorph listed for this composition at 0.601 eV per atom. Its theoretical density is 3.23 g/cm³. The value obtained for the total energy is -77.266 eV for the cell shown. The magnetization is 0.00 μB/f.u. The volume comes out at 17.62 Å³ per atom. For the formation energy without anion corrections, the calculation gives 872 meV per atom.

Lattice parameters (Å, degrees): 9.120 2.496 9.586 90.00 104.24 90.00
Space group C2/m (No. 12)
Unique sites:
C1 0.013 0.000 0.426 (multiplicity 4)
C2 0.025 0.500 0.361 (multiplicity 4)
Se1 0.054 0.000 0.136 (multiplicity 4)



Computed, not measured: a relaxed CSe crystal at the GGA-PBE level of DFT.

Properties
The calculation puts the energy relative to the lowest polymorph listed for this composition at 1.711 eV per atom. Its theoretical density is 5.87 g/cm³. The value obtained for the total energy is -8.279 eV for the cell shown. The magnetization is 0.00 μB/f.u. The volume comes out at 12.87 Å³ per atom. For the formation energy without anion corrections, the calculation gives 2215 meV per atom.

Lattice parameters (Å, degrees): 3.1388 3.1388 3.0170 90.00 90.00 120.00
Space group P-6m2 (No. 187)
Unique sites:
C1 0.0000 0.0000 0.0000 (multiplicity 1)
Se1 0.3333 0.6667 0.5000 (multiplicity 1)



Computed, not measured: a relaxed C5Se crystal at the GGA-PBE level of DFT.

Properties
The calculation puts the energy relative to the lowest polymorph listed for this composition at 0.880 eV per atom. Its theoretical density is 2.62 g/cm³. The value obtained for the total energy is -78.745 eV for the cell shown. The magnetization is 0.29 μB/f.u. The volume comes out at 14.71 Å³ per atom. For the formation energy without anion corrections, the calculation gives 1705 meV per atom.

Lattice parameters (Å, degrees): 7.112 2.536 9.782 90.00 90.00 90.00
Space group Amm2 (No. 38)
Unique sites:
C1 0.000 0.000 0.000 (multiplicity 2)
C2 0.000 0.000 0.158 (multiplicity 2)
C3 0.000 0.000 0.578 (multiplicity 2)
C4 0.500 0.000 0.501 (multiplicity 2)
C5 0.500 0.000 0.947 (multiplicity 2)
Se1 0.500 0.000 0.724 (multiplicity 2)



Computed, not measured: a relaxed CSe crystal at the GGA-PBE level of DFT.

Properties
The calculation puts the energy relative to the lowest polymorph listed for this composition at 1.585 eV per atom. Its theoretical density is 5.28 g/cm³. The value obtained for the total energy is -25.592 eV for the cell shown. The magnetization is 0.00 μB/f.u. The volume comes out at 14.31 Å³ per atom. For the formation energy without anion corrections, the calculation gives 2089 meV per atom.

Lattice parameters (Å, degrees): 4.450 4.450 4.338 90.00 90.00 90.00
Space group P4/mmm (No. 123)
Unique sites:
C1 0.000 0.000 0.000 (multiplicity 1)
C2 0.000 0.500 0.500 (multiplicity 2)
Se1 0.000 0.000 0.500 (multiplicity 1)
Se2 0.000 0.500 0.000 (multiplicity 2)